No. 1
Compound: CaAsOs2Pd
Source: Alexandria via LeMat-Bulk
Functional: PBE
Structure: optimized geometry

Cell: 4.616 4.616 4.744 Å, 90.00 90.00 90.00°
Space group P4/mmm (No. 123)
One atom of each set of equivalent atoms:
Ca 0.000 0.000 0.000 x1
As 0.500 0.500 0.500 x1
Os 0.000 0.500 0.500 x2
Pd 0.500 0.500 0.000 x1

The formation energy comes out at 13.27 kcal/mol of atoms. The value obtained for the energy is -6.2854 eV/atom. Its crystal system is tetragonal. The calculation puts the volume at 20.2 Å³ per atom.

No. 2
Compound: CaAs2OsSe
Source: Alexandria via LeMat-Bulk
Functional: PBE
Structure: optimized geometry

Cell: 4.671 4.671 5.717 Å, 90.00 90.00 90.00°
Space group P4/mmm (No. 123)
One atom of each set of equivalent atoms:
Ca 0.000 0.000 0.000 x1
As 0.000 0.500 0.500 x2
Os 0.500 0.500 0.500 x1
Se 0.500 0.500 0.000 x1

The value obtained for the energy is -5.2960 eV/atom. The formation energy (no corrections) comes out at -2.1 kcal/mol of atoms. Its crystal system is tetragonal. The calculation puts the volume at 24.9 Å³ per atom.

No. 3
Compound: CaAsOsSe2
Source: Alexandria via LeMat-Bulk
Functional: PBE
Structure: optimized geometry

Cell: 5.209 5.209 4.589 Å, 90.00 90.00 90.00°
Space group P4/mmm (No. 123)
One atom of each set of equivalent atoms:
Ca 0.000 0.000 0.000 x1
As 0.500 0.500 0.000 x1
Os 0.500 0.500 0.500 x1
Se 0.000 0.500 0.500 x2

The value obtained for the energy is -5.0787 eV/atom. The formation energy (no corrections) comes out at -2.5 kcal/mol of atoms. Its crystal system is tetragonal. The calculation puts the volume at 24.9 Å³ per atom.

No. 4
Compound: CaAs2OsSe
Source: Alexandria via LeMat-Bulk
Functional: PBE
Structure: optimized geometry

Cell: 5.293 5.293 5.140 Å, 90.00 90.00 90.00°
Space group P4/mmm (No. 123)
One atom of each set of equivalent atoms:
Ca 0.000 0.000 0.000 x1
As 0.000 0.500 0.000 x2
Os 0.500 0.500 0.500 x1
Se 0.000 0.000 0.500 x1

The value obtained for the energy is -3.5377 eV/atom. The formation energy (no corrections) comes out at 38.4 kcal/mol of atoms. Its crystal system is tetragonal. The calculation puts the volume at 28.8 Å³ per atom.

No. 5
Compound: CaAsOsSe2
Source: Alexandria via LeMat-Bulk
Functional: PBE
Structure: optimized geometry

Cell: 5.255 5.255 5.387 Å, 90.00 90.00 90.00°
Space group P4/mmm (No. 123)
One atom of each set of equivalent atoms:
Ca 0.000 0.000 0.000 x1
As 0.000 0.000 0.500 x1
Os 0.500 0.500 0.500 x1
Se 0.000 0.500 0.000 x2

The value obtained for the energy is -3.5124 eV/atom. The formation energy (no corrections) comes out at 33.6 kcal/mol of atoms. Its crystal system is tetragonal. The calculation puts the volume at 29.7 Å³ per atom.

No. 6
Compound: Ca2TcAsOs
Source: Alexandria via LeMat-Bulk
Functional: PBE
Structure: optimized geometry

Cell: 5.441 5.441 4.522 Å, 90.00 90.00 90.00°
Space group P4/mmm (No. 123)
One atom of each set of equivalent atoms:
Ca 0.000 0.500 0.000 x2
Tc 0.000 0.000 0.500 x1
As 0.500 0.500 0.000 x1
Os 0.500 0.500 0.500 x1

The formation energy comes out at 19.40 kcal/mol of atoms. The value obtained for the energy is -5.2085 eV/atom. Its crystal system is tetragonal. The calculation puts the volume at 26.8 Å³ per atom.

No. 7
Compound: CaTiAs2Os
Source: Alexandria via LeMat-Bulk
Functional: PBE
Structure: optimized geometry

Cell: 4.991 4.991 4.441 Å, 90.00 90.00 90.00°
Space group P4/mmm (No. 123)
One atom of each set of equivalent atoms:
Ca 0.000 0.000 0.000 x1
Ti 0.000 0.000 0.500 x1
As 0.000 0.500 0.000 x2
Os 0.500 0.500 0.500 x1

The formation energy comes out at 45.98 kcal/mol of atoms. The value obtained for the energy is -4.0910 eV/atom. Its crystal system is tetragonal. The calculation puts the volume at 22.1 Å³ per atom.

No. 8
Compound: CaAs3P
Source: Alexandria via LeMat-Bulk
Functional: PBE
Structure: optimized geometry

Cell: 5.292 5.292 5.292 Å, 90.00 90.00 90.00°
Space group Pm-3m (No. 221)
One atom of each set of equivalent atoms:
Ca 0.000 0.000 0.000 x1
As 0.000 0.000 0.500 x3
P 0.500 0.500 0.500 x1

The formation energy comes out at 29.02 kcal/mol of atoms. The value obtained for the energy is -3.0136 eV/atom. Its crystal system is cubic. The calculation puts the volume at 29.6 Å³ per atom.

No. 9
Compound: Ca2AsP
Source: Alexandria via LeMat-Bulk
Functional: PBE
Structure: optimized geometry

Cell: 4.5363 4.5363 11.4955 Å, 90.00 90.00 120.00°
Space group P-6m2 (No. 187)
One atom of each set of equivalent atoms:
Ca 0.0000 0.0000 0.0000 x1
Ca 0.0000 0.0000 0.5000 x1
Ca 0.3333 0.6667 0.2431 x2
As 0.6667 0.3333 0.3859 x2
P 0.6667 0.3333 0.1022 x2

The formation energy comes out at -24.36 kcal/mol of atoms. The value obtained for the energy is -4.5720 eV/atom. Its crystal system is hexagonal. The calculation puts the volume at 25.6 Å³ per atom.

No. 10
Compound: Ca2AsP
Source: Alexandria via LeMat-Bulk
Functional: PBE
Structure: optimized geometry

Cell: 10.878 4.128 4.347 Å, 90.00 100.88 90.00°
Space group Cm (No. 8)
One atom of each set of equivalent atoms:
Ca 0.000 0.000 0.000 x2
Ca 0.237 0.500 0.504 x2
As 0.458 0.000 0.455 x2
P 0.272 0.000 0.053 x2

The formation energy comes out at -22.39 kcal/mol of atoms. The value obtained for the energy is -4.4866 eV/atom. Its crystal system is monoclinic. The calculation puts the volume at 24.0 Å³ per atom.

No. 11
Compound: Ca2AsP
Source: Alexandria via LeMat-Bulk
Functional: PBE
Structure: optimized geometry

Cell: 4.813 4.813 3.920 Å, 90.00 90.00 90.00°
Space group P4/mmm (No. 123)
One atom of each set of equivalent atoms:
Ca 0.000 0.500 0.000 x2
As 0.000 0.000 0.500 x1
P 0.500 0.500 0.500 x1

The formation energy comes out at -19.02 kcal/mol of atoms. The value obtained for the energy is -4.3406 eV/atom. Its crystal system is tetragonal. The calculation puts the volume at 22.7 Å³ per atom.

No. 12
Compound: Ca4AsP
Source: Alexandria via LeMat-Bulk
Functional: PBE
Structure: optimized geometry

Cell: 8.683 8.683 8.683 Å, 90.00 90.00 90.00°
Space group F-43m (No. 216)
One atom of each set of equivalent atoms:
Ca 0.125 0.125 0.125 x16
As 0.000 0.000 0.500 x4
P 0.250 0.250 0.750 x4

The formation energy comes out at 5.04 kcal/mol of atoms. The value obtained for the energy is -2.7923 eV/atom. Its crystal system is cubic. The calculation puts the volume at 27.3 Å³ per atom.